(1)
This record from Alexandria describes a relaxed structure of Er6In3H. The functional is PBE-GGA.

CIF file:
```
data_Er6In3H
_symmetry_space_group_name_H-M 'C m c 21'
_symmetry_Int_Tables_number 36
_symmetry_space_group_name_Hall 'C 2c -2'
_cell_length_a 11.349
_cell_length_b 16.634
_cell_length_c 5.288
_cell_angle_alpha 90.00
_cell_angle_beta 90.00
_cell_angle_gamma 90.00
loop_
_atom_site_label
_atom_site_fract_x
_atom_site_fract_y
_atom_site_fract_z
_atom_site_occupancy
Er1 0.000 0.088 0.000 1
Er2 0.000 0.238 0.513 1
Er3 0.171 0.417 0.499 1
Er4 0.177 0.274 0.001 1
In1 0.000 0.421 0.999 1
In2 0.157 0.076 0.499 1
H1 0.000 0.218 0.940 1
```

## Properties
**Total magnetic moment**: 0.00 μB/f.u.
**DFT total energy**: -170.8 eV for the cell shown



(2)
This record from Alexandria describes a relaxed structure of ErInH6Ir2. The functional is PBE-GGA.

CIF file:
```
data_ErInH6Ir2
_symmetry_space_group_name_H-M 'C 1 2/c 1'
_symmetry_Int_Tables_number 15
_symmetry_space_group_name_Hall '-C 2yc'
_cell_length_a 7.500
_cell_length_b 12.051
_cell_length_c 5.318
_cell_angle_alpha 90.00
_cell_angle_beta 110.67
_cell_angle_gamma 90.00
loop_
_atom_site_label
_atom_site_fract_x
_atom_site_fract_y
_atom_site_fract_z
_atom_site_occupancy
Er1 0.000 0.110 0.250 1
In1 0.000 0.299 0.750 1
H1 0.063 0.427 0.064 1
H2 0.217 0.009 0.108 1
H3 0.242 0.313 0.376 1
Ir1 0.210 0.104 0.847 1
```

## Properties
**Total magnetic moment**: 0.00 μB/f.u.
**DFT total energy**: -190.8 eV for the cell shown



(3)
This record from Alexandria describes a relaxed structure of Er4HIr2. The functional is PBE-GGA.

CIF file:
```
data_Er4HIr2
_symmetry_space_group_name_H-M 'I 4/m m m'
_symmetry_Int_Tables_number 139
_symmetry_space_group_name_Hall '-I 4 2'
_cell_length_a 4.481
_cell_length_b 4.481
_cell_length_c 14.462
_cell_angle_alpha 90.00
_cell_angle_beta 90.00
_cell_angle_gamma 90.00
loop_
_atom_site_label
_atom_site_fract_x
_atom_site_fract_y
_atom_site_fract_z
_atom_site_occupancy
Er1 0.000 0.000 0.186 1
Er2 0.000 0.500 0.000 1
H1 0.000 0.000 0.000 1
Ir1 0.000 0.000 0.373 1
```

## Properties
**Total magnetic moment**: 0.00 μB/f.u.
**DFT total energy**: -87.5 eV for the cell shown



(4)
This record from Alexandria describes a relaxed structure of ErHIr. The functional is PBE-GGA.

CIF file:
```
data_ErHIr
_symmetry_space_group_name_H-M 'P -6 m 2'
_symmetry_Int_Tables_number 187
_symmetry_space_group_name_Hall 'P -6 2'
_cell_length_a 3.8898
_cell_length_b 3.8898
_cell_length_c 3.4604
_cell_angle_alpha 90.00
_cell_angle_beta 90.00
_cell_angle_gamma 120.00
loop_
_atom_site_label
_atom_site_fract_x
_atom_site_fract_y
_atom_site_fract_z
_atom_site_occupancy
Er1 0.0000 0.0000 0.0000 1
H1 0.3333 0.6667 0.5000 1
Ir1 0.6667 0.3333 0.5000 1
```

## Properties
**Total magnetic moment**: 0.00 μB/f.u.
**DFT total energy**: -17.7 eV for the cell shown